Here is crystalline Y2TcRh at its relaxed geometry from the Alexandria database. Energies are from PBE-GGA.

Output
The calculation puts the total energy at -7.746 eV per atom. The calculation puts the formation energy at -0.0849 eV per atom.

Lattice parameters (Å, degrees): 4.045 4.045 10.095 90.00 90.00 90.00
Space group I-4m2 (No. 119)
Inequivalent atoms, fractional coordinates:
Y (0.000, 0.000, 0.000) [2 per cell]
Y (0.000, 0.500, 0.250) [2 per cell]
Tc (0.000, 0.000, 0.500) [2 per cell]
Rh (0.000, 0.500, 0.750) [2 per cell]